(1)
The following is a DFT calculation (PBE-GGA) of a relaxed structure of BPBr2NCl3. Values from VASP.

The structure in Quantum ESPRESSO input format:
```
&SYSTEM
  ibrav = 0, nat = 32, ntyp = 5
/
ATOMIC_SPECIES
B 10.81 B.upf
P 30.97 P.upf
Br 79.90 Br.upf
N 14.01 N.upf
Cl 35.45 Cl.upf
CELL_PARAMETERS angstrom
6.842 -6.414 0.000
6.842 6.414 0.000
0.000 0.000 10.651
ATOMIC_POSITIONS crystal
B 0.080 0.080 0.000
B 0.420 0.420 0.500
B 0.580 0.580 0.500
B 0.920 0.920 0.000
P 0.004 0.996 0.750
P 0.496 0.504 0.250
P 0.504 0.496 0.750
P 0.996 0.004 0.250
Br 0.037 0.295 0.015
Br 0.205 0.463 0.485
Br 0.295 0.037 0.985
Br 0.463 0.205 0.515
Br 0.537 0.795 0.485
Br 0.705 0.963 0.015
Br 0.795 0.537 0.515
Br 0.963 0.705 0.985
N 0.008 0.992 0.103
N 0.492 0.508 0.603
N 0.508 0.492 0.397
N 0.992 0.008 0.897
Cl 0.056 0.178 0.675
Cl 0.150 0.850 0.684
Cl 0.178 0.056 0.325
Cl 0.322 0.444 0.825
Cl 0.350 0.650 0.184
Cl 0.444 0.322 0.175
Cl 0.556 0.678 0.825
Cl 0.650 0.350 0.816
Cl 0.678 0.556 0.175
Cl 0.822 0.944 0.675
Cl 0.850 0.150 0.316
Cl 0.944 0.822 0.325
```

E_form (uncorrected)   -5.04 eV per formula unit
Crystal system   orthorhombic
SG   No. 64

(2)
The following is a DFT calculation (PBE-GGA) of a relaxed structure of NaBBr2Cl. Values from VASP.

The structure in Quantum ESPRESSO input format:
```
&SYSTEM
  ibrav = 0, nat = 5, ntyp = 4
/
ATOMIC_SPECIES
Na 22.99 Na.upf
B 10.81 B.upf
Br 79.90 Br.upf
Cl 35.45 Cl.upf
CELL_PARAMETERS angstrom
4.424 0.000 0.000
0.000 4.424 0.000
0.000 0.000 9.204
ATOMIC_POSITIONS crystal
Na 0.000 0.000 0.000
B 0.000 0.000 0.500
Br 0.000 0.500 0.500
Br 0.500 0.000 0.500
Cl 0.500 0.500 0.000
```

E_form (uncorrected)   -0.42 eV per formula unit
Crystal system   tetragonal
SG   No. 123

(3)
The following is a DFT calculation (PBE-GGA) of a relaxed structure of Pr4BBrCl2. Values from VASP.

The structure in Quantum ESPRESSO input format:
```
&SYSTEM
  ibrav = 0, nat = 8, ntyp = 4
/
ATOMIC_SPECIES
Pr 140.91 Pr.upf
B 10.81 B.upf
Br 79.90 Br.upf
Cl 35.45 Cl.upf
CELL_PARAMETERS angstrom
7.150 0.000 0.000
0.000 4.071 0.000
-2.398 0.000 7.194
ATOMIC_POSITIONS crystal
Pr 0.213 0.000 0.202
Pr 0.232 0.500 0.793
Pr 0.768 0.500 0.207
Pr 0.787 0.000 0.798
B 0.000 0.500 0.000
Br 0.000 0.000 0.500
Cl 0.500 0.000 0.000
Cl 0.500 0.500 0.500
```

E_form (uncorrected)   -8.85 eV per formula unit
Crystal system   monoclinic
SG   No. 10

(4)
The following is a DFT calculation (PBE-GGA) of a relaxed structure of Rb2BBrCl6. Values from VASP.

The structure in Quantum ESPRESSO input format:
```
&SYSTEM
  ibrav = 0, nat = 10, ntyp = 4
/
ATOMIC_SPECIES
Rb 85.47 Rb.upf
B 10.81 B.upf
Br 79.90 Br.upf
Cl 35.45 Cl.upf
CELL_PARAMETERS angstrom
-3.775 3.775 5.476
3.775 -3.775 5.476
3.775 3.775 -5.476
ATOMIC_POSITIONS crystal
Rb 0.250 0.750 0.500
Rb 0.750 0.250 0.500
B 0.000 0.000 0.000
Br 0.500 0.500 0.000
Cl 0.186 0.186 0.372
Cl 0.186 0.814 0.000
Cl 0.280 0.280 0.000
Cl 0.720 0.720 0.000
Cl 0.814 0.186 0.000
Cl 0.814 0.814 0.628
```

E_form (uncorrected)   -8.75 eV per formula unit
Crystal system   tetragonal
SG   No. 139